An optimized crystal structure of PaTeO4F2, computed with PBE-GGA.

Computed properties:
- Formation energy from raw total energies: -225.5 kJ/mol of atoms
- Crystal system: orthorhombic
- DFT total energy: -6.8640 eV per atom

Lattice parameters (Å, degrees): 7.3998 6.1877 7.0532 90.00 90.00 90.00
With the nearest neighbours (Å) after each atom.
Fractional positions:
Pa1 0.1250 0.2563 0.5000  2 F 2.08, 4 O 2.17-2.22
Pa2 0.6250 0.7437 0.0000  2 F 2.08, 4 O 2.17-2.22
Te1 0.6250 0.0492 0.5000  4 O 1.87-1.99
Te2 0.1250 0.9508 0.0000  4 O 1.87-1.99
O1 0.3251 0.7666 0.0000  1 Te 1.87
O2 0.8251 0.2334 0.5000  1 Te 1.87
O3 0.4249 0.2334 0.5000  1 Te 1.87
O4 0.9249 0.7666 0.0000  1 Te 1.87
O5 0.6250 0.9834 0.7763  1 Te 1.99, 1 Pa 2.17
O6 0.1250 0.0166 0.2763  1 Te 1.99, 1 Pa 2.17
O7 0.1250 0.0166 0.7237  1 Te 1.99, 1 Pa 2.17
O8 0.6250 0.9834 0.2237  1 Te 1.99, 1 Pa 2.17
F1 0.1250 0.4949 0.2932  1 Pa 2.08
F2 0.1250 0.4949 0.7068  1 Pa 2.08
F3 0.6250 0.5051 0.7932  1 Pa 2.08
F4 0.6250 0.5051 0.2068  1 Pa 2.08

An optimized crystal structure of PaTeO4F, computed with PBE-GGA.

Computed properties:
- Formation energy from raw total energies: -235.7 kJ/mol of atoms
- Crystal system: monoclinic
- DFT total energy: -7.3489 eV per atom

Lattice parameters (Å, degrees): 6.0421 6.0421 6.7268 85.10 85.10 73.37
With the nearest neighbours (Å) after each atom.
Fractional positions:
Pa1 0.2019 0.2019 0.8715  1 O 1.93
Pa2 0.7981 0.7981 0.1285  1 O 1.93
Te1 0.6466 0.6466 0.6500  3 O 1.92-1.93
Te2 0.3534 0.3534 0.3500  3 O 1.92-1.93
O1 0.1903 0.1903 0.5411  1 Te 1.93
O2 0.8097 0.8097 0.4589  1 Te 1.93
O3 0.1144 0.4836 0.1683  1 Te 1.92
O4 0.6000 0.6000 0.2059  1 Pa 1.93
O5 0.5164 0.8856 0.8317  1 Te 1.92
O6 0.4836 0.1144 0.1683  1 Te 1.92
O7 0.4000 0.4000 0.7941  1 Pa 1.93
O8 0.8856 0.5164 0.8317  1 Te 1.92
F1 0.0297 0.0297 0.1689  2 Pa 2.29-2.47, 1 F 2.40
F2 0.9703 0.9703 0.8311  2 Pa 2.29-2.47, 1 F 2.40

An optimized crystal structure of Pa2TeO6F3, computed with PBE-GGA.

Computed properties:
- Formation energy from raw total energies: -231.3 kJ/mol of atoms
- Crystal system: monoclinic
- DFT total energy: -7.1890 eV per atom

Lattice parameters (Å, degrees): 6.8121 6.8121 4.5188 90.18 90.18 116.28
With the nearest neighbours (Å) after each atom.
Fractional positions:
Pa1 0.3131 0.6869 0.0000  6 O 2.23-2.35, 2 F 2.32
Pa2 0.6869 0.3131 0.0000  6 O 2.23-2.35, 2 F 2.32
Te1 0.0000 0.0000 0.0000  4 O 2.21
O1 0.9777 0.6668 0.9972  1 Te 2.21, 2 Pa 2.23-2.35, 2 O 2.41-2.42
O2 0.5993 0.5993 0.0014  1 O 1.43
O3 0.0223 0.3332 0.0028  1 Te 2.21, 2 Pa 2.23-2.35, 2 O 2.41-2.42
O4 0.6668 0.9777 0.9972  1 Te 2.21, 2 Pa 2.23-2.35, 2 O 2.41-2.42
O5 0.4007 0.4007 0.9986  1 O 1.43
O6 0.3332 0.0223 0.0028  1 Te 2.21, 2 Pa 2.23-2.35, 2 O 2.41-2.42
F1 0.2693 0.7307 0.5000  2 Pa 2.32
F2 0.7307 0.2693 0.5000  2 Pa 2.32
F3 0.5000 0.5000 0.5000  4 O 2.37

An optimized crystal structure of Pb2O2F, computed with PBE-GGA.

Computed properties:
- Formation energy from raw total energies: -126.6 kJ/mol of atoms
- Crystal system: triclinic
- DFT total energy: -5.1525 eV per atom

Lattice parameters (Å, degrees): 6.2026 7.2023 8.0442 63.23 46.41 55.28
With the nearest neighbours (Å) after each atom.
Fractional positions:
Pb1 0.4073 0.7727 0.0420  3 O 2.29-2.42, 1 F 2.56
Pb2 0.6551 0.2065 0.4811  4 O 2.24-2.48, 1 F 2.43
Pb3 0.5927 0.2273 0.9580  3 O 2.29-2.42, 1 F 2.56
Pb4 0.3449 0.7935 0.5189  4 O 2.24-2.48, 1 F 2.43
O1 0.5301 0.5564 0.3000  3 Pb 2.24-2.29
O2 0.7891 0.9518 0.7572  4 Pb 2.29-2.48
O3 0.2109 0.0482 0.2428  4 Pb 2.29-2.48
O4 0.4699 0.4436 0.7000  3 Pb 2.24-2.29
F1 0.7918 0.9061 0.2883  3 Pb 2.43-2.63
F2 0.2082 0.0939 0.7117  3 Pb 2.43-2.63

An optimized crystal structure of Pb2OF3, computed with PBE-GGA.

Computed properties:
- Formation energy from raw total energies: -158.9 kJ/mol of atoms
- Crystal system: orthorhombic
- DFT total energy: -4.6452 eV per atom

Lattice parameters (Å, degrees): 3.6677 6.3144 6.3142 110.53 90.00 90.00
With the nearest neighbours (Å) after each atom.
Fractional positions:
Pb1 0.0000 0.5928 0.2479  1 O 2.34, 2 F 2.41
Pb2 0.0000 0.2479 0.5928  1 O 2.34, 4 F 2.41-2.62
O1 0.0000 0.2117 0.2116  2 Pb 2.34
F1 0.5000 0.4751 0.9861  2 Pb 2.41
F2 0.5000 0.9861 0.4750  2 Pb 2.41
F3 0.5000 0.4941 0.4941  4 Pb 2.62, 2 O 2.74

An optimized crystal structure of Pb2O2F3, computed with PBE-GGA.

Computed properties:
- Formation energy from raw total energies: -134.5 kJ/mol of atoms
- Crystal system: monoclinic
- DFT total energy: -4.6717 eV per atom

Lattice parameters (Å, degrees): 3.7776 4.0737 7.0019 71.85 74.35 62.37
With the nearest neighbours (Å) after each atom.
Fractional positions:
Pb1 0.2098 0.8050 0.7750  3 O 2.32, 3 F 2.38-2.46
Pb2 0.7902 0.1950 0.2250  3 O 2.32, 3 F 2.38-2.46
O1 0.1235 0.5779 0.1756  3 Pb 2.32, 2 F 2.55
O2 0.8765 0.4221 0.8244  3 Pb 2.32, 2 F 2.55
F1 0.5000 0.0000 0.0000  6 O 2.55-2.61, 4 Pb 2.61, 2 F 2.75
F2 0.3632 0.8568 0.4171  3 Pb 2.38-2.46, 3 F 2.53-2.57
F3 0.6368 0.1432 0.5829  3 Pb 2.38-2.46, 3 F 2.53-2.57

Which value of formation energy from raw total energies does entry 4 give? -126.6 kJ/mol of atoms

Which value of formation energy from raw total energies does entry 2 give? -235.7 kJ/mol of atoms

Copy entry 2 word for word.
An optimized crystal structure of PaTeO4F, computed with PBE-GGA.

Computed properties:
- Formation energy from raw total energies: -235.7 kJ/mol of atoms
- Crystal system: monoclinic
- DFT total energy: -7.3489 eV per atom

Lattice parameters (Å, degrees): 6.0421 6.0421 6.7268 85.10 85.10 73.37
With the nearest neighbours (Å) after each atom.
Fractional positions:
Pa1 0.2019 0.2019 0.8715  1 O 1.93
Pa2 0.7981 0.7981 0.1285  1 O 1.93
Te1 0.6466 0.6466 0.6500  3 O 1.92-1.93
Te2 0.3534 0.3534 0.3500  3 O 1.92-1.93
O1 0.1903 0.1903 0.5411  1 Te 1.93
O2 0.8097 0.8097 0.4589  1 Te 1.93
O3 0.1144 0.4836 0.1683  1 Te 1.92
O4 0.6000 0.6000 0.2059  1 Pa 1.93
O5 0.5164 0.8856 0.8317  1 Te 1.92
O6 0.4836 0.1144 0.1683  1 Te 1.92
O7 0.4000 0.4000 0.7941  1 Pa 1.93
O8 0.8856 0.5164 0.8317  1 Te 1.92
F1 0.0297 0.0297 0.1689  2 Pa 2.29-2.47, 1 F 2.40
F2 0.9703 0.9703 0.8311  2 Pa 2.29-2.47, 1 F 2.40